(1)
# NpTlTe3, optimized geometry, DFT PBE
# **E_tot**: -26.8 eV per formula unit
# **Formation energy (no corrections)**: -2.05 eV/f.u.
# **DOS(E_F)**: 11.1 states/eV/f.u.
# **SG**: Pmmn (59)
# **Crystal system**: orthorhombic
data_NpTlTe3
_chemical_formula_sum 'Np2 Tl2 Te6'
_cell_length_a 4.1695
_cell_length_b 9.1023
_cell_length_c 9.0225
_cell_angle_alpha 90.00
_cell_angle_beta 90.00
_cell_angle_gamma 90.00
_space_group_name_H-M_alt 'P 1'
_space_group_IT_number 1
loop_
_space_group_symop_operation_xyz
'x,y,z'
loop_
_atom_site_label
_atom_site_fract_x
_atom_site_fract_y
_atom_site_fract_z
_atom_site_occupancy
Te1 0.2500 0.0666 0.1735 1
Te2 0.7500 0.5666 0.8265 1
Te3 0.7500 0.7500 0.2573 1
Te4 0.2500 0.2500 0.7427 1
Te5 0.7500 0.9334 0.8265 1
Te6 0.2500 0.4334 0.1735 1
Np1 0.2500 0.7500 0.0171 1
Np2 0.7500 0.2500 0.9829 1
Tl1 0.2500 0.7500 0.5722 1
Tl2 0.7500 0.2500 0.4278 1

(2)
# Np3Tl2Te6, optimized geometry, DFT PBE
# **E_tot**: -68.8 eV per formula unit
# **Formation energy (no corrections)**: -6.37 eV/f.u.
# **DOS(E_F)**: 31.3 states/eV/f.u.
# **SG**: C2/m (12)
# **Crystal system**: monoclinic
data_Np3Tl2Te6
_chemical_formula_sum 'Np3 Tl2 Te6'
_cell_length_a 7.6811
_cell_length_b 7.6773
_cell_length_c 8.6046
_cell_angle_alpha 81.45
_cell_angle_beta 72.70
_cell_angle_gamma 59.98
_space_group_name_H-M_alt 'P 1'
_space_group_IT_number 1
loop_
_space_group_symop_operation_xyz
'x,y,z'
loop_
_atom_site_label
_atom_site_fract_x
_atom_site_fract_y
_atom_site_fract_z
_atom_site_occupancy
Np1 0.0000 0.0000 0.0000 1
Np2 0.3329 0.3342 0.0000 1
Np3 0.6671 0.6658 0.0000 1
Te1 0.0717 0.3324 0.7875 1
Te2 0.7367 0.0000 0.7879 1
Te3 0.4041 0.6676 0.7875 1
Te4 0.5959 0.3324 0.2125 1
Te5 0.2633 0.0000 0.2121 1
Te6 0.9283 0.6676 0.2125 1
Tl1 0.8336 0.3328 0.5000 1
Tl2 0.1664 0.6672 0.5000 1

(3)
# NpTlTe2, optimized geometry, DFT PBE
# **E_tot**: -23.6 eV per formula unit
# **Formation energy (no corrections)**: -2.03 eV/f.u.
# **DOS(E_F)**: 7.2 states/eV/f.u.
# **SG**: P4/mmm (123)
# **Crystal system**: tetragonal
data_NpTlTe2
_chemical_formula_sum 'Np1 Tl1 Te2'
_cell_length_a 3.8563
_cell_length_b 3.8563
_cell_length_c 8.2174
_cell_angle_alpha 90.00
_cell_angle_beta 90.00
_cell_angle_gamma 90.00
_space_group_name_H-M_alt 'P 1'
_space_group_IT_number 1
loop_
_space_group_symop_operation_xyz
'x,y,z'
loop_
_atom_site_label
_atom_site_fract_x
_atom_site_fract_y
_atom_site_fract_z
_atom_site_occupancy
Np1 0.5000 0.5000 0.0000 1
Tl1 0.5000 0.5000 0.5000 1
Te1 0.0000 0.0000 0.2137 1
Te2 0.0000 0.0000 0.7863 1

(4)
# NpTlTe3, optimized geometry, DFT PBE
# **E_tot**: -26.3 eV per formula unit
# **Formation energy (no corrections)**: -1.61 eV/f.u.
# **DOS(E_F)**: 9.9 states/eV/f.u.
# **SG**: Pm-3m (221)
# **Crystal system**: cubic
data_NpTlTe3
_chemical_formula_sum 'Np1 Tl1 Te3'
_cell_length_a 5.8541
_cell_length_b 5.8541
_cell_length_c 5.8541
_cell_angle_alpha 90.00
_cell_angle_beta 90.00
_cell_angle_gamma 90.00
_space_group_name_H-M_alt 'P 1'
_space_group_IT_number 1
loop_
_space_group_symop_operation_xyz
'x,y,z'
loop_
_atom_site_label
_atom_site_fract_x
_atom_site_fract_y
_atom_site_fract_z
_atom_site_occupancy
Te1 0.0000 0.0000 0.5000 1
Te2 0.5000 0.0000 0.0000 1
Te3 0.0000 0.5000 0.0000 1
Np1 0.0000 0.0000 0.0000 1
Tl1 0.5000 0.5000 0.5000 1

(5)
# NpTl2Te4, optimized geometry, DFT PBE
# **E_tot**: -32.1 eV per formula unit
# **Formation energy (no corrections)**: -1.90 eV/f.u.
# **DOS(E_F)**: 8.2 states/eV/f.u.
# **SG**: P2/m (10)
# **Crystal system**: monoclinic
data_NpTl2Te4
_chemical_formula_sum 'Np1 Tl2 Te4'
_cell_length_a 4.4315
_cell_length_b 9.0846
_cell_length_c 8.0086
_cell_angle_alpha 115.26
_cell_angle_beta 90.00
_cell_angle_gamma 90.00
_space_group_name_H-M_alt 'P 1'
_space_group_IT_number 1
loop_
_space_group_symop_operation_xyz
'x,y,z'
loop_
_atom_site_label
_atom_site_fract_x
_atom_site_fract_y
_atom_site_fract_z
_atom_site_occupancy
Te1 0.5000 0.1498 0.3485 1
Te2 0.0000 0.7234 0.9742 1
Te3 0.5000 0.9930 0.7943 1
Te4 0.0000 0.4194 0.1688 1
Tl1 0.5000 0.7684 0.3046 1
Tl2 0.5000 0.3745 0.8384 1
Np1 0.0000 0.0714 0.0714 1

(6)
# NpTl5Te4, optimized geometry, DFT PBE
# **E_tot**: -41.1 eV per formula unit
# **Formation energy (no corrections)**: -3.74 eV/f.u.
# **DOS(E_F)**: 8.4 states/eV/f.u.
# **SG**: C2/m (12)
# **Crystal system**: monoclinic
data_NpTl5Te4
_chemical_formula_sum 'Np1 Tl5 Te4'
_cell_length_a 4.6427
_cell_length_b 9.0141
_cell_length_c 10.3248
_cell_angle_alpha 117.97
_cell_angle_beta 102.99
_cell_angle_gamma 90.00
_space_group_name_H-M_alt 'P 1'
_space_group_IT_number 1
loop_
_space_group_symop_operation_xyz
'x,y,z'
loop_
_atom_site_label
_atom_site_fract_x
_atom_site_fract_y
_atom_site_fract_z
_atom_site_occupancy
Te1 0.6640 0.0477 0.3280 1
Te2 0.9568 0.7335 0.9137 1
Te3 0.0432 0.2665 0.0863 1
Te4 0.3360 0.9523 0.6720 1
Tl1 0.7864 0.6705 0.5728 1
Tl2 0.8568 0.2228 0.7136 1
Tl3 0.1432 0.7772 0.2864 1
Tl4 0.5000 0.5000 0.0000 1
Tl5 0.2136 0.3295 0.4272 1
Np1 0.5000 0.0000 0.0000 1

(7)
# NpTlTe2, optimized geometry, DFT PBE
# **E_tot**: -23.8 eV per formula unit
# **Formation energy (no corrections)**: -2.16 eV/f.u.
# **DOS(E_F)**: 12.1 states/eV/f.u.
# **SG**: R3m (160)
# **Crystal system**: trigonal
data_NpTlTe2
_chemical_formula_sum 'Np1 Tl1 Te2'
_cell_length_a 4.4575
_cell_length_b 4.4575
_cell_length_c 8.7430
_cell_angle_alpha 75.23
_cell_angle_beta 75.23
_cell_angle_gamma 60.00
_space_group_name_H-M_alt 'P 1'
_space_group_IT_number 1
loop_
_space_group_symop_operation_xyz
'x,y,z'
loop_
_atom_site_label
_atom_site_fract_x
_atom_site_fract_y
_atom_site_fract_z
_atom_site_occupancy
Np1 0.6674 0.6674 0.9977 1
Te1 0.0714 0.0714 0.7859 1
Te2 0.2634 0.2634 0.2097 1
Tl1 0.4978 0.4978 0.5067 1

(8)
# NpTl4Te4, optimized geometry, DFT PBE
# **E_tot**: -36.9 eV per formula unit
# **Formation energy (no corrections)**: -1.94 eV/f.u.
# **DOS(E_F)**: 15.4 states/eV/f.u.
# **SG**: I-42m (121)
# **Crystal system**: tetragonal
data_NpTl4Te4
_chemical_formula_sum 'Np1 Tl4 Te4'
_cell_length_a 8.1628
_cell_length_b 8.1628
_cell_length_c 8.1484
_cell_angle_alpha 120.06
_cell_angle_beta 120.06
_cell_angle_gamma 90.00
_space_group_name_H-M_alt 'P 1'
_space_group_IT_number 1
loop_
_space_group_symop_operation_xyz
'x,y,z'
loop_
_atom_site_label
_atom_site_fract_x
_atom_site_fract_y
_atom_site_fract_z
_atom_site_occupancy
Tl1 0.6514 0.6514 0.3029 1
Tl2 0.3486 0.3486 0.6971 1
Tl3 0.0000 0.5000 0.0000 1
Tl4 0.5000 0.0000 0.0000 1
Te1 0.6393 0.6393 0.6837 1
Te2 0.9557 0.3607 0.3163 1
Te3 0.3607 0.9557 0.3163 1
Te4 0.0443 0.0443 0.6837 1
Np1 0.0000 0.0000 0.0000 1

(9)
# NpTl3Te4, optimized geometry, DFT PBE
# **E_tot**: -35.8 eV per formula unit
# **Formation energy (no corrections)**: -3.17 eV/f.u.
# **DOS(E_F)**: 9.2 states/eV/f.u.
# **SG**: Cmmm (65)
# **Crystal system**: orthorhombic
data_NpTl3Te4
_chemical_formula_sum 'Np1 Tl3 Te4'
_cell_length_a 4.4818
_cell_length_b 8.2574
_cell_length_c 8.2574
_cell_angle_alpha 107.90
_cell_angle_beta 90.00
_cell_angle_gamma 90.00
_space_group_name_H-M_alt 'P 1'
_space_group_IT_number 1
loop_
_space_group_symop_operation_xyz
'x,y,z'
loop_
_atom_site_label
_atom_site_fract_x
_atom_site_fract_y
_atom_site_fract_z
_atom_site_occupancy
Te1 0.5000 0.7766 0.2234 1
Te2 0.0000 0.2158 0.2158 1
Te3 0.0000 0.7842 0.7842 1
Te4 0.5000 0.2234 0.7766 1
Tl1 0.0000 0.5000 0.0000 1
Tl2 0.5000 0.5000 0.5000 1
Tl3 0.0000 0.0000 0.5000 1
Np1 0.5000 0.0000 0.0000 1

(10)
# NpTl3Te4, optimized geometry, DFT PBE
# **E_tot**: -35.8 eV per formula unit
# **Formation energy (no corrections)**: -3.19 eV/f.u.
# **DOS(E_F)**: 9.6 states/eV/f.u.
# **SG**: P2/c (13)
# **Crystal system**: monoclinic
data_NpTl3Te4
_chemical_formula_sum 'Np2 Tl6 Te8'
_cell_length_a 7.8872
_cell_length_b 8.3851
_cell_length_c 9.4481
_cell_angle_alpha 90.00
_cell_angle_beta 90.00
_cell_angle_gamma 109.51
_space_group_name_H-M_alt 'P 1'
_space_group_IT_number 1
loop_
_space_group_symop_operation_xyz
'x,y,z'
loop_
_atom_site_label
_atom_site_fract_x
_atom_site_fract_y
_atom_site_fract_z
_atom_site_occupancy
Te1 0.9671 0.2226 0.6591 1
Te2 0.0329 0.7774 0.3409 1
Te3 0.9980 0.7863 0.8903 1
Te4 0.4671 0.2226 0.3409 1
Te5 0.5329 0.7774 0.6591 1
Te6 0.4980 0.7863 0.1097 1
Te7 0.5020 0.2137 0.8903 1
Te8 0.0020 0.2137 0.1097 1
Tl1 0.7500 0.5000 0.6143 1
Tl2 0.2500 0.0000 0.6161 1
Tl3 0.2500 0.5000 0.3857 1
Tl4 0.2500 0.5000 0.8750 1
Tl5 0.7500 0.5000 0.1250 1
Tl6 0.7500 0.0000 0.3839 1
Np1 0.7500 0.0000 0.8846 1
Np2 0.2500 0.0000 0.1154 1

(11)
# NpTl4Te5, optimized geometry, DFT PBE
# **E_tot**: -41.5 eV per formula unit
# **Formation energy (no corrections)**: -3.34 eV/f.u.
# **DOS(E_F)**: 13.2 states/eV/f.u.
# **SG**: I4/m (87)
# **Crystal system**: tetragonal
data_NpTl4Te5
_chemical_formula_sum 'Np1 Tl4 Te5'
_cell_length_a 6.2756
_cell_length_b 8.1781
_cell_length_c 8.1781
_cell_angle_alpha 81.53
_cell_angle_beta 67.44
_cell_angle_gamma 67.44
_space_group_name_H-M_alt 'P 1'
_space_group_IT_number 1
loop_
_space_group_symop_operation_xyz
'x,y,z'
loop_
_atom_site_label
_atom_site_fract_x
_atom_site_fract_y
_atom_site_fract_z
_atom_site_occupancy
Te1 0.2710 0.8227 0.6374 1
Te2 0.5010 0.0000 0.0000 1
Te3 0.7310 0.1773 0.3626 1
Te4 0.0937 0.6374 0.1773 1
Te5 0.9084 0.3626 0.8227 1
Tl1 0.1960 0.2041 0.4060 1
Tl2 0.8061 0.7959 0.5940 1
Tl3 0.6020 0.5940 0.2041 1
Tl4 0.4001 0.4060 0.7959 1
Np1 0.0011 0.0000 0.0000 1

(12)
# Np3Tl5Te12, optimized geometry, DFT PBE
# **E_tot**: -93.0 eV per formula unit
# **Formation energy (no corrections)**: -4.66 eV/f.u.
# **DOS(E_F)**: 38.1 states/eV/f.u.
# **SG**: Ia-3d (230)
# **Crystal system**: cubic
data_Np3Tl5Te12
_chemical_formula_sum 'Np12 Tl20 Te48'
_cell_length_a 15.6891
_cell_length_b 15.6891
_cell_length_c 15.6891
_cell_angle_alpha 109.47
_cell_angle_beta 109.47
_cell_angle_gamma 109.47
_space_group_name_H-M_alt 'P 1'
_space_group_IT_number 1
loop_
_space_group_symop_operation_xyz
'x,y,z'
loop_
_atom_site_label
_atom_site_fract_x
_atom_site_fract_y
_atom_site_fract_z
_atom_site_occupancy
Tl1 0.5000 0.0000 0.0000 1
Tl2 0.2500 0.8750 0.1250 1
Tl3 0.0000 0.0000 0.0000 1
Tl4 0.5000 0.0000 0.5000 1
Tl5 0.0000 0.0000 0.5000 1
Tl6 0.1250 0.3750 0.2500 1
Tl7 0.0000 0.5000 0.5000 1
Tl8 0.5000 0.5000 0.0000 1
Tl9 0.6250 0.8750 0.2500 1
Tl10 0.0000 0.5000 0.0000 1
Tl11 0.8750 0.6250 0.7500 1
Tl12 0.3750 0.1250 0.7500 1
Tl13 0.2500 0.3750 0.6250 1
Tl14 0.7500 0.1250 0.8750 1
Tl15 0.1250 0.7500 0.3750 1
Tl16 0.7500 0.6250 0.3750 1
Tl17 0.3750 0.2500 0.1250 1
Tl18 0.5000 0.5000 0.5000 1
Tl19 0.6250 0.7500 0.8750 1
Tl20 0.8750 0.2500 0.6250 1
Te1 0.4167 0.3552 0.5868 1
Te2 0.1701 0.0868 0.7316 1
Te3 0.5615 0.2316 0.1448 1
Te4 0.3299 0.7684 0.4132 1
Te5 0.4385 0.6701 0.0833 1
Te6 0.2316 0.6701 0.0868 1
Te7 0.2316 0.5615 0.6448 1
Te8 0.4167 0.0615 0.3299 1
Te9 0.6448 0.0615 0.2316 1
Te10 0.3299 0.5615 0.4167 1
Te11 0.5868 0.8552 0.4167 1
Te12 0.0868 0.9167 0.3552 1
Te13 0.9385 0.5833 0.1701 1
Te14 0.0833 0.1701 0.4385 1
Te15 0.4385 0.7684 0.8552 1
Te16 0.9132 0.0833 0.6448 1
Te17 0.1701 0.0833 0.9385 1
Te18 0.7684 0.4385 0.3552 1
Te19 0.5833 0.9385 0.6701 1
Te20 0.7316 0.5868 0.1701 1
Te21 0.2684 0.8552 0.9385 1
Te22 0.9167 0.0868 0.8552 1
Te23 0.0868 0.1701 0.2316 1
Te24 0.3552 0.9385 0.7684 1
Te25 0.8552 0.5868 0.9167 1
Te26 0.0615 0.4167 0.8299 1
Te27 0.5833 0.6448 0.4132 1
Te28 0.7684 0.3299 0.9132 1
Te29 0.6448 0.5833 0.9132 1
Te30 0.4132 0.2684 0.3299 1
Te31 0.1448 0.7316 0.5615 1
Te32 0.8299 0.9132 0.2684 1
Te33 0.6701 0.2316 0.5868 1
Te34 0.9132 0.8299 0.7684 1
Te35 0.7316 0.1448 0.0615 1
Te36 0.5615 0.3299 0.9167 1
Te37 0.3552 0.4167 0.0868 1
Te38 0.9167 0.8299 0.5615 1
Te39 0.5868 0.7316 0.6701 1
Te40 0.8552 0.2684 0.4385 1
Te41 0.1448 0.4132 0.0833 1
Te42 0.0615 0.6448 0.7316 1
Te43 0.2684 0.4132 0.8299 1
Te44 0.4132 0.1448 0.5833 1
Te45 0.0833 0.9132 0.1448 1
Te46 0.9385 0.3552 0.2684 1
Te47 0.6701 0.4385 0.5833 1
Te48 0.8299 0.9167 0.0615 1
Np1 0.6250 0.2500 0.3750 1
Np2 0.6250 0.3750 0.7500 1
Np3 0.7500 0.8750 0.6250 1
Np4 0.1250 0.2500 0.8750 1
Np5 0.8750 0.7500 0.1250 1
Np6 0.7500 0.3750 0.1250 1
Np7 0.2500 0.1250 0.3750 1
Np8 0.8750 0.1250 0.2500 1
Np9 0.3750 0.6250 0.2500 1
Np10 0.1250 0.8750 0.7500 1
Np11 0.3750 0.7500 0.6250 1
Np12 0.2500 0.6250 0.8750 1